1.
## Np4CoSi8 (PBE)

Data for a relaxed Np4CoSi8 crystal.

Summary:
* ΔE_f (raw): -0.198 eV per atom

abc: 3.855 4.100 14.734
angles: 90.00 90.00 90.00
Fractional positions:
Np  0.000  0.000  0.000
Np  0.000  0.500  0.483
Np  0.500  0.000  0.793
Np  0.500  0.500  0.295
Co  0.000  0.500  0.698
Si  0.000  0.000  0.334
Si  0.000  0.000  0.628
Si  0.000  0.500  0.146
Si  0.000  0.500  0.852
Si  0.500  0.000  0.151
Si  0.500  0.000  0.447
Si  0.500  0.500  0.625
Si  0.500  0.500  0.954

---

2.
## BeZn3Bi (PBE)

Data for a relaxed BeZn3Bi crystal.

Summary:
* formation energy from the elements: 1.103 eV per atom

abc: 5.489 5.489 5.489
angles: 90.00 90.00 90.00
Fractional positions:
Be  0.000  0.000  0.000
Zn  0.000  0.500  0.500
Zn  0.500  0.000  0.500
Zn  0.500  0.500  0.000
Bi  0.500  0.500  0.500

---

3.
## CaHRu (PBE)

Data for a relaxed CaHRu crystal.

Summary:
* raw total energy: -0.368 Ry/atom

abc: 4.729 4.202 5.637
angles: 90.00 112.02 90.00
Fractional positions:
Ca  0.157  0.250  0.287
Ca  0.843  0.750  0.713
H  0.075  0.250  0.673
H  0.925  0.750  0.327
Ru  0.429  0.250  0.899
Ru  0.571  0.750  0.101

---

4.
## MnReAs3 (PBE)

Data for a relaxed MnReAs3 crystal.

Summary:
* formation energy from the elements: 1.138 eV per atom

abc: 4.565 4.565 4.565
angles: 90.00 90.00 90.00
Fractional positions:
Mn  0.000  0.000  0.000
Re  0.500  0.500  0.500
As  0.000  0.000  0.500
As  0.000  0.500  0.000
As  0.500  0.000  0.000

---

5.
## TbHgC (PBE)

Data for a relaxed TbHgC crystal.

Summary:
* formation energy from the elements: -0.333 eV per atom

abc: 7.551 3.631 9.576
angles: 90.00 107.16 90.00
Fractional positions:
Tb  0.089  0.000  0.352
Tb  0.411  0.500  0.648
Tb  0.589  0.500  0.352
Tb  0.911  0.000  0.648
Hg  0.187  0.500  0.106
Hg  0.313  0.000  0.894
Hg  0.687  0.000  0.106
Hg  0.813  0.500  0.894
C  0.091  0.500  0.536
C  0.409  0.000  0.464
C  0.591  0.000  0.536
C  0.909  0.500  0.464

---

6.
## Pm2DyGe4Ir3 (PBE)

Data for a relaxed Pm2DyGe4Ir3 crystal.

Summary:
* formation energy from the elements: -0.736 eV per atom

abc: 4.275 4.275 11.092
angles: 90.00 90.00 90.00
Fractional positions:
Pm  0.000  0.500  0.229
Pm  0.500  0.000  0.771
Dy  0.000  0.000  0.500
Ge  0.000  0.000  0.000
Ge  0.000  0.500  0.665
Ge  0.500  0.000  0.335
Ge  0.500  0.500  0.000
Ir  0.000  0.500  0.884
Ir  0.500  0.000  0.116
Ir  0.500  0.500  0.500

---

7.
## LaPaSi2Ir2 (PBE)

Data for a relaxed LaPaSi2Ir2 crystal.

Summary:
* ΔE_f (raw): -0.929 eV per atom

abc: 4.183 4.183 8.171
angles: 90.00 90.00 120.00
Fractional positions:
La  0.000  0.000  0.000
Pa  0.000  0.000  0.500
Si  0.333  0.667  0.744
Si  0.667  0.333  0.256
Ir  0.333  0.667  0.283
Ir  0.667  0.333  0.717

---

Number 1: total magnetization 13.52 Bohr magnetons per cell. Number 2: total magnetization 0.00 Bohr magnetons per cell. Number 3: total magnetization 0.00 Bohr magnetons per cell. Number 4: total magnetization 4.17 Bohr magnetons per cell. Number 5: total magnetization 0.00 Bohr magnetons per cell. Number 6: total magnetization 0.00 Bohr magnetons per cell. Number 7: total magnetization 0.00 Bohr magnetons per cell.